DFT (PBE-GGA) results for crystalline InGa2Tc2 at its relaxed geometry.

POSCAR file:
```
InGa2Tc2
1.0
-1.294 -6.920 -0.337
4.592 -0.600 -5.312
2.462 -0.567 2.192
Ga Tc In
4 4 2
Direct
0.351 0.149 0.500 Ga
0.649 0.851 0.500 Ga
0.851 0.351 0.500 Ga
0.149 0.649 0.500 Ga
0.856 0.644 0.000 Tc
0.144 0.356 0.000 Tc
0.356 0.856 0.000 Tc
0.644 0.144 0.000 Tc
0.500 0.500 0.000 In
0.000 0.000 0.000 In
```

Calculated values
distance to the lowest polymorph of the same formula = 0.000 eV/atom
calculated formation energy = 0.027 eV/atom

DFT (PBE-GGA) results for crystalline Ac4Ir2PdAu at its relaxed geometry.

POSCAR file:
```
Ac4Ir2PdAu
1.0
-0.643 -3.049 -3.153
-2.977 -2.934 6.561
-12.839 5.971 -3.155
Ac Ir Pd Au
8 4 2 2
Direct
0.270 0.539 0.395 Ac
0.270 0.539 0.105 Ac
0.730 0.461 0.605 Ac
0.000 0.000 0.500 Ac
0.000 0.000 0.000 Ac
0.730 0.461 0.895 Ac
0.488 0.975 0.750 Ac
0.512 0.025 0.250 Ac
0.630 0.261 0.076 Ir
0.370 0.739 0.924 Ir
0.630 0.261 0.424 Ir
0.370 0.739 0.576 Ir
0.868 0.735 0.750 Pd
0.132 0.265 0.250 Pd
0.860 0.720 0.250 Au
0.140 0.280 0.750 Au
```

Calculated values
calculated formation energy = -0.578 eV/atom

DFT (PBE-GGA) results for crystalline K2SbClF6 at its relaxed geometry.

POSCAR file:
```
K2SbClF6
1.0
-4.765 -5.608 1.381
0.472 -7.871 0.369
-1.631 -4.770 6.212
Cl F Sb K
1 6 1 2
Direct
0.811 0.961 0.411 Cl
0.321 0.588 0.779 F
0.280 0.206 0.923 F
0.895 0.503 0.239 F
0.316 0.032 0.330 F
0.742 0.122 0.866 F
0.356 0.443 0.158 F
0.318 0.308 0.057 Sb
0.222 0.957 0.838 K
0.401 0.541 0.414 K
```

Calculated values
E_form (uncorrected) = -2.416 eV/atom

DFT (PBE-GGA) results for crystalline Ba8Cd2Au3 at its relaxed geometry.

POSCAR file:
```
Ba8Cd2Au3
1.0
5.792 0.000 0.000
0.000 10.117 -5.911
0.000 -0.859 10.131
Ba Au Cd
8 3 2
Direct
0.500 0.123 0.763 Ba
0.000 0.884 0.771 Ba
0.500 0.639 0.765 Ba
0.000 0.379 0.759 Ba
0.500 0.361 0.235 Ba
0.000 0.116 0.229 Ba
0.500 0.877 0.237 Ba
0.000 0.621 0.241 Ba
0.000 0.740 0.000 Au
0.000 0.260 0.000 Au
0.500 0.000 0.000 Au
0.500 0.745 0.491 Cd
0.500 0.255 0.509 Cd
```

Calculated values
calculated formation energy = -0.383 eV/atom